(1)
## TcBSe2Br (PBE-GGA)

Data for a relaxed TcBSe2Br crystal.

Geometry as POSCAR:
```
TcBSe2Br
1.0
4.473 0.000 0.000
0.000 4.447 0.000
0.000 0.000 4.473
Se Tc Br B
2 1 1 1
Direct
0.500 0.000 0.000
0.000 0.000 0.500
0.000 0.500 0.000
0.500 0.500 0.500
0.000 0.000 0.000
```

Properties
ρ, g/cm³: 6.470

(2)
## TcBSe2Br (PBE-GGA)

Data for a relaxed TcBSe2Br crystal.

Geometry as POSCAR:
```
TcBSe2Br
1.0
4.385 0.000 0.000
0.000 4.385 0.000
0.000 0.000 4.431
Tc Se Br B
1 2 1 1
Direct
0.500 0.500 0.500
0.500 0.000 0.000
0.000 0.500 0.000
0.000 0.000 0.500
0.000 0.000 0.000
```

Properties
ρ, g/cm³: 6.754

(3)
## TcBSeBr2 (PBE-GGA)

Data for a relaxed TcBSeBr2 crystal.

Geometry as POSCAR:
```
TcBSeBr2
1.0
-3.893 2.206 -0.077
-0.558 -1.133 -4.294
-2.149 -3.750 1.269
Se Tc Br B
1 1 2 1
Direct
0.000 0.000 0.500
0.500 0.500 0.500
0.000 0.500 0.000
0.500 0.000 0.000
0.000 0.000 0.000
```

Properties
ρ, g/cm³: 6.397

(4)
## TcBSe2Br (PBE-GGA)

Data for a relaxed TcBSe2Br crystal.

Geometry as POSCAR:
```
TcBSe2Br
1.0
4.774 0.000 0.000
0.000 4.774 0.000
0.000 0.000 5.437
Tc Se Br B
1 2 1 1
Direct
0.000 0.000 0.000
0.000 0.500 0.000
0.500 0.000 0.000
0.000 0.000 0.500
0.500 0.500 0.500
```

Properties
ρ, g/cm³: 4.645

(5)
## BTeSeBr2 (PBE-GGA)

Data for a relaxed BTeSeBr2 crystal.

Geometry as POSCAR:
```
BTeSeBr2
1.0
5.535 0.000 0.000
0.000 5.535 0.000
0.000 0.000 5.536
Se Br Te B
1 2 1 1
Direct
0.000 0.000 0.500
0.500 0.000 0.000
0.000 0.500 0.000
0.000 0.000 0.000
0.500 0.500 0.500
```

Properties
ρ, g/cm³: 3.693

(6)
## BTeSeBr2 (PBE-GGA)

Data for a relaxed BTeSeBr2 crystal.

Geometry as POSCAR:
```
BTeSeBr2
1.0
-4.135 1.866 -0.351
-1.885 -3.934 1.294
0.258 1.502 4.942
Br B Te Se
2 1 1 1
Direct
0.500 0.000 0.000
0.000 0.500 0.000
0.000 0.000 0.000
0.500 0.500 0.500
0.000 0.000 0.500
```

Properties
ρ, g/cm³: 5.851

(7)
## TiBSe2Br (PBE-GGA)

Data for a relaxed TiBSe2Br crystal.

Geometry as POSCAR:
```
TiBSe2Br
1.0
4.939 0.000 0.000
0.000 4.939 0.000
0.000 0.000 5.141
B Se Ti Br
1 2 1 1
Direct
0.500 0.500 0.500
0.000 0.500 0.000
0.500 0.000 0.000
0.000 0.000 0.000
0.000 0.000 0.500
```

Properties
ρ, g/cm³: 3.926

(8)
## TiBSeBr2 (PBE-GGA)

Data for a relaxed TiBSeBr2 crystal.

Geometry as POSCAR:
```
TiBSeBr2
1.0
4.543 0.000 0.000
0.000 4.543 0.000
0.000 0.000 4.700
Se Br B Ti
1 2 1 1
Direct
0.000 0.000 0.500
0.500 0.000 0.000
0.000 0.500 0.000
0.000 0.000 0.000
0.500 0.500 0.500
```

Properties
ρ, g/cm³: 5.092

Record-wise formation energy (no corrections) values, in kJ/mol of formula units: 506; 564; 638; 527; 505; 314; 219; 304